Model a:
First-principles (PBE) data for an optimized crystal structure of LiCd2Cl5, as listed in the Alexandria database.

Results
volume: 945.6 Å³/cell
calculated density: 2.873 g cm⁻³

```
LiCd2Cl5
1.0
10.641 0.000 0.000
0.000 11.264 0.000
0.000 0.000 7.889
Li Cd Cl
4 8 20
Cartesian
2.604 2.672 0.000
2.717 8.305 3.944
7.924 2.960 3.944
8.037 8.592 0.000
0.000 5.632 1.939
0.000 5.632 5.950
1.435 1.421 3.944
3.885 7.053 0.000
5.321 0.000 2.006
5.321 0.000 5.883
6.756 4.211 0.000
9.206 9.844 3.944
0.625 3.966 0.000
0.977 4.135 3.944
1.084 9.994 3.944
2.427 6.907 2.054
2.427 6.907 5.835
2.894 1.275 1.890
2.894 1.275 5.999
4.237 4.362 0.000
4.344 9.767 0.000
4.696 9.598 3.944
5.945 1.666 3.944
6.297 1.498 0.000
6.404 6.903 0.000
7.747 9.990 1.890
7.747 9.990 5.999
8.214 4.358 2.054
8.214 4.358 5.835
9.557 1.270 3.944
9.664 7.130 3.944
10.016 7.298 0.000
```

=====

Model b:
First-principles (PBE) data for an optimized crystal structure of LiCd2Cl5, as listed in the Alexandria database.

Results
volume: 426.9 Å³/cell
calculated density: 3.182 g cm⁻³

```
LiCd2Cl5
1.0
2.617 -6.421 0.000
2.617 6.421 0.000
0.000 0.000 12.704
Li Cd Cl
2 4 10
Cartesian
2.617 3.798 9.528
2.617 -3.798 3.176
2.617 4.649 0.818
2.617 4.649 5.534
2.617 -4.649 7.170
2.617 -4.649 11.886
2.617 5.707 7.900
2.617 5.707 11.156
2.617 3.385 3.176
2.617 2.344 7.207
2.617 2.344 11.849
2.617 -2.344 0.855
2.617 -2.344 5.497
2.617 -3.385 9.528
2.617 -5.707 1.548
2.617 -5.707 4.804
```

=====

Here is how they stack up, most stable first: model a, model b.

=====

Model a:
First-principles (PBE) data for an optimized crystal structure of Li3CdCl, as listed in the Alexandria database.

Results
volume: 103.6 Å³/cell
calculated density: 2.705 g cm⁻³

```
Li3CdCl
1.0
4.696 0.000 0.000
0.000 4.696 0.000
0.000 0.000 4.696
Li Cd Cl
3 1 1
Cartesian
0.000 0.000 2.348
0.000 2.348 0.000
2.348 0.000 0.000
2.348 2.348 2.348
0.000 0.000 0.000
```

=====

Model b:
First-principles (PBE) data for an optimized crystal structure of Li3CdCl, as listed in the Alexandria database.

Results
volume: 142.7 Å³/cell
calculated density: 1.963 g cm⁻³

```
Li3CdCl
1.0
5.225 0.000 0.000
0.000 5.225 0.000
0.000 0.000 5.225
Li Cd Cl
3 1 1
Cartesian
0.000 0.000 2.613
0.000 2.613 0.000
2.613 0.000 0.000
0.000 0.000 0.000
2.613 2.613 2.613
```

=====

Here is how they stack up, most stable first: model a, model b.

=====

Model a:
First-principles (PBE) data for an optimized crystal structure of LiCdSCl2, as listed in the Alexandria database.

Results
volume: 141.6 Å³/cell
calculated density: 2.607 g cm⁻³

```
LiCdSCl2
1.0
5.304 0.000 0.000
0.000 5.304 0.000
0.000 0.000 5.035
Li Cd S Cl
1 1 1 2
Cartesian
0.000 0.000 0.000
2.652 2.652 2.517
2.652 2.652 0.000
0.000 2.652 2.517
2.652 0.000 2.517
```

=====

Model b:
First-principles (PBE) data for an optimized crystal structure of LiCdSCl2, as listed in the Alexandria database.

Results
volume: 106.5 Å³/cell
calculated density: 3.466 g cm⁻³

```
LiCdSCl2
1.0
4.431 0.000 0.000
0.000 4.431 0.000
0.000 0.000 5.425
Li Cd S Cl
1 1 1 2
Cartesian
0.000 0.000 0.000
2.215 2.215 2.712
0.000 0.000 2.712
0.000 2.215 0.000
2.215 0.000 0.000
```

=====

Here is how they stack up, most stable first: model a, model b.